Model a:
{"formula": "Pm7Er4Sc", "functional": "PBE", "state": "relaxed", "vol_a3_per_cell": 388.3, "rho_g_cm3": 7.39, "lattice_angstrom": [[6.913, 1.811, 0.887], [5.187, 7.608, 2.451], [-1.018, -0.427, 8.811]], "species": ["Pm", "Pm", "Pm", "Pm", "Pm", "Pm", "Pm", "Er", "Er", "Er", "Er", "Sc"], "fractional_positions": [[0.750, 0.501, 0.001], [0.250, 0.499, 0.999], [0.969, 0.279, 0.667], [0.031, 0.721, 0.333], [0.218, 0.782, 0.668], [0.500, 0.000, 0.000], [0.782, 0.218, 0.332], [0.526, 0.724, 0.331], [0.474, 0.276, 0.669], [0.723, 0.778, 0.664], [0.277, 0.222, 0.336], [0.000, 0.000, 0.000]]}



Model b:
{"formula": "Pm7Er4Sc", "functional": "PBE", "state": "relaxed", "vol_a3_per_cell": 397.2, "rho_g_cm3": 7.23, "lattice_angstrom": [[5.869, 0.000, 0.000], [2.935, 7.860, 2.275], [2.935, 1.434, 9.027]], "species": ["Pm", "Pm", "Pm", "Pm", "Pm", "Pm", "Pm", "Er", "Er", "Er", "Er", "Sc"], "fractional_positions": [[0.830, 0.958, 0.383], [0.170, 0.042, 0.617], [0.073, 0.560, 0.295], [0.927, 0.440, 0.705], [0.283, 0.556, 0.877], [0.500, 0.000, 0.000], [0.717, 0.444, 0.123], [0.583, 0.278, 0.556], [0.417, 0.722, 0.444], [0.711, 0.809, 0.769], [0.289, 0.191, 0.231], [0.000, 0.000, 0.000]]}



The winner here is model a, beating the second structure by 206 meV/atom.



Model a:
{"formula": "PmEr3Sc", "functional": "PBE", "state": "relaxed", "vol_a3_per_cell": 303.6, "rho_g_cm3": 7.57, "lattice_angstrom": [[-4.685, 1.853, -2.303], [-0.996, -5.571, -2.454], [-4.018, 0.404, 8.497]], "species": ["Pm", "Pm", "Er", "Er", "Er", "Er", "Er", "Er", "Sc", "Sc"], "fractional_positions": [[0.250, 0.270, 0.202], [0.750, 0.730, 0.798], [0.750, 0.545, 0.404], [0.250, 0.455, 0.596], [0.750, 0.333, 0.997], [0.250, 0.064, 0.791], [0.250, 0.667, 0.003], [0.750, 0.936, 0.209], [0.250, 0.869, 0.405], [0.750, 0.131, 0.595]]}



Model b:
{"formula": "PmEr3Sc", "functional": "PBE", "state": "relaxed", "vol_a3_per_cell": 149.8, "rho_g_cm3": 7.67, "lattice_angstrom": [[3.454, 0.000, 0.563], [1.681, 3.017, 0.563], [-0.552, -0.324, 14.252]], "species": ["Pm", "Er", "Er", "Er", "Sc"], "fractional_positions": [[0.834, 0.834, 0.497], [0.238, 0.238, 0.287], [0.031, 0.031, 0.907], [0.432, 0.432, 0.704], [0.634, 0.634, 0.097]]}



The winner here is model a, beating the second structure by 19 meV/atom.



Model a:
{"formula": "PmEr6Sc3", "functional": "PBE", "state": "relaxed", "vol_a3_per_cell": 296.2, "rho_g_cm3": 7.20, "lattice_angstrom": [[8.447, 0.000, 4.482], [3.034, 7.883, 4.482], [2.158, 1.482, 6.133]], "species": ["Pm", "Er", "Er", "Er", "Er", "Er", "Er", "Sc", "Sc", "Sc"], "fractional_positions": [[0.900, 0.900, 0.301], [0.901, 0.558, 0.298], [0.242, 0.901, 0.298], [0.558, 0.242, 0.298], [0.064, 0.401, 0.799], [0.736, 0.064, 0.799], [0.401, 0.736, 0.799], [0.399, 0.399, 0.802], [0.640, 0.640, 0.081], [0.159, 0.159, 0.524]]}



Model b:
{"formula": "PmEr6Sc3", "functional": "PBE", "state": "relaxed", "vol_a3_per_cell": 587.2, "rho_g_cm3": 7.26, "lattice_angstrom": [[-2.838, 0.621, 5.440], [9.021, -2.526, 4.996], [-2.522, 10.015, -2.460]], "species": ["Pm", "Pm", "Er", "Er", "Er", "Er", "Er", "Er", "Er", "Er", "Er", "Er", "Er", "Er", "Sc", "Sc", "Sc", "Sc", "Sc", "Sc"], "fractional_positions": [[0.206, 0.211, 0.789], [0.706, 0.789, 0.211], [0.022, 0.706, 0.633], [0.522, 0.633, 0.706], [0.358, 0.563, 0.971], [0.858, 0.971, 0.563], [0.361, 0.954, 0.046], [0.671, 0.312, 0.688], [0.171, 0.688, 0.312], [0.861, 0.046, 0.954], [0.358, 0.029, 0.437], [0.858, 0.437, 0.029], [0.022, 0.367, 0.294], [0.522, 0.294, 0.367], [0.429, 0.921, 0.694], [0.929, 0.694, 0.921], [0.130, 0.385, 0.615], [0.630, 0.615, 0.385], [0.929, 0.079, 0.306], [0.429, 0.306, 0.079]]}



The winner here is model b, beating the second structure by 33 meV/atom.



Model a:
{"formula": "Pm3Er4Sc2", "functional": "PBE", "state": "relaxed", "vol_a3_per_cell": 559.7, "rho_g_cm3": 7.08, "lattice_angstrom": [[-1.343, -4.003, 4.670], [8.137, -4.691, -0.981], [4.027, 5.478, 6.554]], "species": ["Pm", "Pm", "Pm", "Pm", "Pm", "Pm", "Er", "Er", "Er", "Er", "Er", "Er", "Er", "Er", "Sc", "Sc", "Sc", "Sc"], "fractional_positions": [[0.896, 0.894, 0.318], [0.604, 0.682, 0.106], [0.104, 0.106, 0.682], [0.396, 0.318, 0.894], [0.250, 0.471, 0.529], [0.750, 0.529, 0.471], [0.415, 0.025, 0.169], [0.085, 0.831, 0.975], [0.585, 0.975, 0.831], [0.915, 0.169, 0.025], [0.049, 0.230, 0.346], [0.451, 0.654, 0.770], [0.951, 0.770, 0.654], [0.549, 0.346, 0.230], [0.598, 0.175, 0.535], [0.902, 0.465, 0.825], [0.402, 0.825, 0.465], [0.098, 0.535, 0.175]]}



Model b:
{"formula": "Pm3Er4Sc2", "functional": "PBE", "state": "relaxed", "vol_a3_per_cell": 545.2, "rho_g_cm3": 7.27, "lattice_angstrom": [[-3.247, -5.105, 0.268], [7.936, -2.432, 4.089], [-4.010, -2.839, 10.492]], "species": ["Pm", "Pm", "Pm", "Pm", "Pm", "Pm", "Er", "Er", "Er", "Er", "Er", "Er", "Er", "Er", "Sc", "Sc", "Sc", "Sc"], "fractional_positions": [[0.139, 0.968, 0.719], [0.475, 0.308, 0.059], [0.861, 0.032, 0.281], [0.525, 0.692, 0.941], [0.194, 0.361, 0.611], [0.806, 0.639, 0.389], [0.582, 0.082, 0.833], [0.029, 0.198, 0.945], [0.418, 0.918, 0.167], [0.971, 0.802, 0.055], [0.249, 0.752, 0.502], [0.359, 0.525, 0.278], [0.751, 0.248, 0.498], [0.641, 0.475, 0.722], [0.694, 0.861, 0.611], [0.914, 0.417, 0.167], [0.306, 0.139, 0.389], [0.086, 0.583, 0.833]]}



The winner here is model b, beating the second structure by 100 meV/atom.



Model a:
{"formula": "Pm5ErSc4", "functional": "PBE", "state": "relaxed", "vol_a3_per_cell": 305.3, "rho_g_cm3": 5.83, "lattice_angstrom": [[-3.103, 4.414, -3.043], [-6.654, 1.938, 3.292], [1.746, 7.125, 2.249]], "species": ["Pm", "Pm", "Pm", "Pm", "Pm", "Er", "Sc", "Sc", "Sc", "Sc"], "fractional_positions": [[0.803, 0.398, 0.901], [0.201, 0.901, 0.602], [0.703, 0.099, 0.398], [0.101, 0.602, 0.099], [0.682, 0.000, 0.000], [0.221, 0.000, 0.000], [0.393, 0.416, 0.698], [0.809, 0.698, 0.584], [0.091, 0.302, 0.416], [0.507, 0.584, 0.302]]}



Model b:
{"formula": "Pm5ErSc4", "functional": "PBE", "state": "relaxed", "vol_a3_per_cell": 297.2, "rho_g_cm3": 5.99, "lattice_angstrom": [[3.564, 0.000, 0.000], [0.000, 3.564, 0.000], [0.000, 0.000, 23.395]], "species": ["Pm", "Pm", "Pm", "Pm", "Pm", "Er", "Sc", "Sc", "Sc", "Sc"], "fractional_positions": [[0.500, 0.500, 0.107], [0.500, 0.500, 0.304], [0.500, 0.500, 0.500], [0.500, 0.500, 0.696], [0.500, 0.500, 0.893], [0.000, 0.000, 0.000], [0.000, 0.000, 0.206], [0.000, 0.000, 0.402], [0.000, 0.000, 0.598], [0.000, 0.000, 0.794]]}



The winner here is model b, beating the second structure by 286 meV/atom.



Model a:
{"formula": "PmEr2Sc7", "functional": "PBE", "state": "relaxed", "vol_a3_per_cell": 297.2, "rho_g_cm3": 4.44, "lattice_angstrom": [[-1.266, 2.775, -4.251], [-2.465, -7.536, -0.954], [-5.830, 0.679, 5.412]], "species": ["Pm", "Er", "Er", "Sc", "Sc", "Sc", "Sc", "Sc", "Sc", "Sc"], "fractional_positions": [[0.000, 0.000, 0.000], [0.500, 0.832, 0.168], [0.500, 0.168, 0.832], [0.000, 0.664, 0.336], [0.000, 0.336, 0.664], [0.257, 0.104, 0.407], [0.743, 0.896, 0.593], [0.257, 0.407, 0.104], [0.743, 0.593, 0.896], [0.500, 0.500, 0.500]]}



Model b:
{"formula": "PmEr2Sc7", "functional": "PBE", "state": "relaxed", "vol_a3_per_cell": 270.9, "rho_g_cm3": 4.87, "lattice_angstrom": [[3.326, 0.000, 0.000], [0.000, 13.064, -4.487], [0.000, -9.899, 9.635]], "species": ["Pm", "Er", "Er", "Sc", "Sc", "Sc", "Sc", "Sc", "Sc", "Sc"], "fractional_positions": [[0.000, 0.000, 0.000], [0.500, 0.711, 0.289], [0.500, 0.289, 0.711], [0.000, 0.817, 0.183], [0.000, 0.183, 0.817], [0.500, 0.148, 0.348], [0.500, 0.852, 0.652], [0.500, 0.348, 0.148], [0.500, 0.652, 0.852], [0.500, 0.500, 0.500]]}



The winner here is model b, beating the second structure by 290 meV/atom.



Model a:
{"formula": "Pm3ErSc", "functional": "PBE", "state": "relaxed", "vol_a3_per_cell": 316.1, "rho_g_cm3": 6.80, "lattice_angstrom": [[3.435, -0.536, 0.529], [-3.198, 8.966, -1.058], [2.422, -4.165, 11.494]], "species": ["Pm", "Pm", "Pm", "Pm", "Pm", "Pm", "Er", "Er", "Sc", "Sc"], "fractional_positions": [[0.998, 0.150, 0.455], [0.926, 0.346, 0.059], [0.804, 0.028, 0.160], [0.002, 0.850, 0.545], [0.196, 0.972, 0.840], [0.074, 0.654, 0.941], [0.256, 0.282, 0.739], [0.744, 0.718, 0.261], [0.137, 0.561, 0.631], [0.863, 0.439, 0.369]]}



Model b:
{"formula": "Pm3ErSc", "functional": "PBE", "state": "relaxed", "vol_a3_per_cell": 650.9, "rho_g_cm3": 6.60, "lattice_angstrom": [[-2.808, -1.694, -1.271], [6.307, -5.535, -6.557], [1.888, -12.264, 12.168]], "species": ["Pm", "Pm", "Pm", "Pm", "Pm", "Pm", "Pm", "Pm", "Pm", "Pm", "Pm", "Pm", "Er", "Er", "Er", "Er", "Sc", "Sc", "Sc", "Sc"], "fractional_positions": [[0.739, 0.500, 0.750], [0.261, 0.000, 0.250], [0.261, 0.500, 0.250], [0.739, 0.000, 0.750], [0.242, 0.560, 0.923], [0.242, 0.440, 0.577], [0.758, 0.060, 0.077], [0.758, 0.940, 0.423], [0.242, 0.060, 0.577], [0.242, 0.940, 0.923], [0.758, 0.560, 0.423], [0.758, 0.440, 0.077], [0.733, 0.250, 0.896], [0.733, 0.750, 0.604], [0.267, 0.750, 0.104], [0.267, 0.250, 0.396], [0.765, 0.250, 0.228], [0.765, 0.750, 0.272], [0.235, 0.750, 0.772], [0.235, 0.250, 0.728]]}



The winner here is model a, beating the second structure by 83 meV/atom.



Model a:
{"formula": "PmEr12Sc6", "functional": "PBE", "state": "relaxed", "vol_a3_per_cell": 595.1, "rho_g_cm3": 6.76, "lattice_angstrom": [[-4.482, -6.914, -3.545], [6.016, -3.369, 5.738], [-5.860, 4.817, 4.788]], "species": ["Pm", "Er", "Er", "Er", "Er", "Er", "Er", "Er", "Er", "Er", "Er", "Er", "Er", "Sc", "Sc", "Sc", "Sc", "Sc", "Sc"], "fractional_positions": [[0.000, 0.000, 0.000], [0.888, 0.112, 0.500], [0.376, 0.150, 0.376], [0.376, 0.376, 0.150], [0.850, 0.624, 0.624], [0.624, 0.624, 0.850], [0.624, 0.850, 0.624], [0.500, 0.888, 0.112], [0.112, 0.500, 0.888], [0.112, 0.888, 0.500], [0.500, 0.112, 0.888], [0.888, 0.500, 0.112], [0.150, 0.376, 0.376], [0.692, 0.276, 0.692], [0.692, 0.692, 0.276], [0.276, 0.692, 0.692], [0.308, 0.308, 0.724], [0.308, 0.724, 0.308], [0.724, 0.308, 0.308]]}



Model b:
{"formula": "PmEr12Sc6", "functional": "PBE", "state": "relaxed", "vol_a3_per_cell": 558.9, "rho_g_cm3": 7.19, "lattice_angstrom": [[8.988, 0.000, 0.000], [-2.996, 8.474, 0.000], [-2.996, -4.237, 7.339]], "species": ["Pm", "Er", "Er", "Er", "Er", "Er", "Er", "Er", "Er", "Er", "Er", "Er", "Er", "Sc", "Sc", "Sc", "Sc", "Sc", "Sc"], "fractional_positions": [[0.000, 0.000, 0.000], [0.266, 0.070, 0.804], [0.266, 0.463, 0.196], [0.734, 0.537, 0.804], [0.734, 0.930, 0.196], [0.070, 0.804, 0.266], [0.463, 0.196, 0.266], [0.537, 0.804, 0.734], [0.930, 0.196, 0.734], [0.804, 0.266, 0.070], [0.196, 0.266, 0.463], [0.804, 0.734, 0.537], [0.196, 0.734, 0.930], [0.362, 0.500, 0.862], [0.638, 0.500, 0.138], [0.500, 0.862, 0.362], [0.500, 0.138, 0.638], [0.862, 0.362, 0.500], [0.138, 0.638, 0.500]]}



The winner here is model b, beating the second structure by 182 meV/atom.



Model a:
{"formula": "Pm5Er4Sc", "functional": "PBE", "state": "relaxed", "vol_a3_per_cell": 317.1, "rho_g_cm3": 7.53, "lattice_angstrom": [[3.586, 0.000, 0.000], [0.000, 3.586, 0.000], [0.000, 0.000, 24.656]], "species": ["Pm", "Pm", "Pm", "Pm", "Pm", "Er", "Er", "Er", "Er", "Sc"], "fractional_positions": [[0.500, 0.500, 0.093], [0.500, 0.500, 0.296], [0.500, 0.500, 0.500], [0.500, 0.500, 0.704], [0.500, 0.500, 0.907], [0.000, 0.000, 0.195], [0.000, 0.000, 0.398], [0.000, 0.000, 0.602], [0.000, 0.000, 0.805], [0.000, 0.000, 0.000]]}



Model b:
{"formula": "Pm5Er4Sc", "functional": "PBE", "state": "relaxed", "vol_a3_per_cell": 320.8, "rho_g_cm3": 7.45, "lattice_angstrom": [[0.496, 3.488, -0.292], [-1.407, -0.749, -11.282], [-8.401, -0.732, -1.597]], "species": ["Pm", "Pm", "Pm", "Pm", "Pm", "Er", "Er", "Er", "Er", "Sc"], "fractional_positions": [[0.211, 0.383, 0.422], [0.185, 0.927, 0.370], [0.815, 0.073, 0.630], [0.500, 0.500, 0.000], [0.789, 0.617, 0.578], [0.603, 0.202, 0.207], [0.918, 0.287, 0.836], [0.397, 0.798, 0.793], [0.082, 0.713, 0.164], [0.500, 0.000, 0.000]]}



The winner here is model a, beating the second structure by 19 meV/atom.